Entry 1:
Tb12Tm7In (GGA-PBE, optimized geometry); total magnetization = 0.008 μB/cell; formation energy = 0.1692 eV per atom; raw total energy = -4.311 eV/atom
1.0
6.019 3.475 5.048
-6.019 3.475 5.048
0.000 -6.950 5.048
Tb Tm In
12 7 1
Direct
0.001 0.884 0.355
0.116 0.645 0.999
0.238 0.757 0.631
0.243 0.369 0.762
0.355 0.001 0.884
0.369 0.762 0.243
0.631 0.238 0.757
0.645 0.999 0.116
0.757 0.631 0.238
0.762 0.243 0.369
0.884 0.355 0.001
0.999 0.116 0.645
0.000 0.000 0.000
0.118 0.443 0.354
0.354 0.118 0.443
0.443 0.354 0.118
0.557 0.646 0.882
0.646 0.882 0.557
0.882 0.557 0.646
0.500 0.500 0.500

=====

Entry 2:
RbInF2 (GGA-PBE, optimized geometry); energy relative to the elements, uncorrected = -2.077 eV per atom; energy relative to the lowest polymorph listed for this composition = 0 meV/atom; total magnetization = 0.000 μB/cell; raw total energy = -3.940 eV/atom
1.0
-3.111 3.111 5.950
3.111 -3.111 5.950
3.111 3.111 -5.950
Rb In F
2 2 4
Direct
0.000 0.000 0.000
0.750 0.250 0.500
0.250 0.750 0.500
0.500 0.500 0.000
0.149 0.625 0.024
0.375 0.399 0.524
0.601 0.125 0.976
0.875 0.851 0.476

=====

Entry 3:
Ba2Pd4Pb (GGA-PBE, optimized geometry); total magnetization = 0.000 μB/cell; formation energy = -0.4006 eV per atom; raw total energy = -4.447 eV/atom
1.0
0.000 4.753 4.873
4.275 0.000 4.873
4.275 4.753 0.000
Ba Pd Pb
2 4 1
Direct
0.250 0.250 0.250
0.750 0.750 0.750
0.174 0.826 0.826
0.228 0.228 0.772
0.772 0.772 0.228
0.826 0.174 0.174
0.500 0.500 0.500